1.
Below is a geometry-optimized Ba3Cd2SnO6 structure, with properties calculated at the PBE-GGA level.

a b c (Å): 6.1311 6.1311 7.0678
angles (deg): 90.00 90.00 120.00
Sites, in units of the cell vectors:
Ba 0.0000 0.0000 0.0000
Ba 0.3333 0.6667 0.6219
Ba 0.6667 0.3333 0.3781
Cd 0.3333 0.6667 0.1461
Cd 0.6667 0.3333 0.8539
Sn 0.0000 0.0000 0.5000
O 0.1600 0.3200 0.3246
O 0.1600 0.8400 0.3246
O 0.3200 0.1600 0.6754
O 0.6800 0.8400 0.3246
O 0.8400 0.1600 0.6754
O 0.8400 0.6800 0.6754

Properties
* space-group type: P-3m1 (164)
* formation energy without anion corrections: -21.32 eV per formula unit
* total DFT energy (no corrections): -5.2226 eV per atom



2.
Below is a geometry-optimized Ba2CdSnO5 structure, with properties calculated at the PBE-GGA level.

a b c (Å): 7.6844 7.6844 11.8936
angles (deg): 90.00 90.00 153.64
Sites, in units of the cell vectors:
Ba 0.0897 0.9103 0.5000
Ba 0.1404 0.8596 0.1372
Ba 0.8596 0.1404 0.6372
Ba 0.9103 0.0897 0.0000
Cd 0.4528 0.5472 0.2797
Cd 0.5472 0.4528 0.7797
Sn 0.2207 0.7793 0.8605
Sn 0.7793 0.2207 0.3605
O 0.0802 0.9198 0.8880
O 0.2695 0.7305 0.4794
O 0.2989 0.7011 0.2488
O 0.3563 0.6437 0.8316
O 0.4933 0.5067 0.6149
O 0.5067 0.4933 0.1149
O 0.6437 0.3563 0.3316
O 0.7011 0.2989 0.7488
O 0.7305 0.2695 0.9794
O 0.9198 0.0802 0.3880

Properties
* space-group type: Cmc2_1 (36)
* formation energy without anion corrections: -17.18 eV per formula unit
* total DFT energy (no corrections): -5.6375 eV per atom



3.
Below is a geometry-optimized Ba4Sr3CdO8 structure, with properties calculated at the PBE-GGA level.

a b c (Å): 7.5850 7.5850 7.5850
angles (deg): 59.96 59.96 59.96
Sites, in units of the cell vectors:
Ba 0.0000 0.0000 0.0000
Ba 0.0000 0.5000 0.5000
Ba 0.5000 0.0000 0.5000
Ba 0.5000 0.5000 0.0000
Sr 0.0000 0.0000 0.5000
Sr 0.0000 0.5000 0.0000
Sr 0.5000 0.0000 0.0000
Cd 0.5000 0.5000 0.5000
O 0.2444 0.2444 0.2444
O 0.2440 0.7446 0.7446
O 0.2554 0.2554 0.7560
O 0.2554 0.7560 0.2554
O 0.7446 0.2440 0.7446
O 0.7446 0.7446 0.2440
O 0.7560 0.2554 0.2554
O 0.7556 0.7556 0.7556

Properties
* space-group type: R-3m (166)
* formation energy without anion corrections: -37.44 eV per formula unit
* total DFT energy (no corrections): -5.6721 eV per atom



4.
Below is a geometry-optimized BaSr2CdO structure, with properties calculated at the PBE-GGA level.

a b c (Å): 5.1736 5.1736 5.7824
angles (deg): 90.00 90.00 90.00
Sites, in units of the cell vectors:
Ba 0.0000 0.0000 0.0000
Sr 0.0000 0.5000 0.5000
Sr 0.5000 0.0000 0.5000
Cd 0.5000 0.5000 0.0000
O 0.0000 0.0000 0.5000

Properties
* space-group type: P4/mmm (123)
* formation energy without anion corrections: -5.75 eV per formula unit
* total DFT energy (no corrections): -3.3816 eV per atom



- Among the records above, which one has the highest total DFT energy (no corrections)?
  BaSr2CdO



- Which of these has the lowest total DFT energy (no corrections)?
  Ba4Sr3CdO8



- formation energy without anion corrections of number 3 (Ba4Sr3CdO8)?
  -37.44 eV per formula unit